(1)
The following is a DFT calculation (PBE-GGA) of a relaxed LiTm12Co6 crystal.

extended XYZ file:
```
19
Lattice="6.733 3.887 2.856 -6.733 3.887 2.856 0.000 -7.774 2.856" Properties=species:S:1:pos:R:3 pbc="T T T"
Li 0.000 0.000 0.000
Tm -2.039 -5.122 3.492
Tm -2.015 -0.765 2.870
Tm -5.455 -0.796 5.077
Tm -3.417 4.327 3.492
Tm 1.670 -1.363 2.870
Tm 0.345 2.128 2.870
Tm -0.345 -2.128 5.699
Tm -1.670 1.363 5.699
Tm 3.417 -4.327 5.077
Tm 5.455 0.796 3.492
Tm 2.015 0.765 5.699
Tm 2.039 5.122 5.077
Co -0.448 -2.964 3.204
Co -2.343 1.870 3.204
Co -2.791 -1.094 5.365
Co 2.791 1.094 3.204
Co 2.343 -1.870 5.365
Co 0.448 2.964 5.365
```

Calculated values
Formation energy   -0.084 eV per atom
V   448.5 Å³ per cell
ΔE to the lowest computed polymorph   0.112 eV/atom
Density of states at the Fermi level   12.21 states/eV/f.u.

(2)
The following is a DFT calculation (PBE-GGA) of a relaxed U4Fe7As6 crystal.

extended XYZ file:
```
17
Lattice="-4.081 4.081 4.081 4.081 -4.081 4.081 4.081 4.081 -4.081" Properties=species:S:1:pos:R:3 pbc="T T T"
U 2.040 2.040 -2.040
U 2.040 -2.040 2.040
U -2.040 2.040 2.040
U 2.040 2.040 2.040
Fe 0.000 0.000 0.000
Fe 4.081 2.040 0.000
Fe 4.081 0.000 2.040
Fe 2.040 4.081 0.000
Fe 2.040 0.000 4.081
Fe 0.000 4.081 2.040
Fe 0.000 2.040 4.081
As 2.553 0.000 0.000
As 5.609 0.000 0.000
As 0.000 2.553 0.000
As 0.000 0.000 2.553
As 0.000 5.609 0.000
As 0.000 0.000 5.609
```

Calculated values
Formation energy   -0.445 eV per atom
V   271.8 Å³ per cell
Density of states at the Fermi level   20.45 states/eV/f.u.

(3)
The following is a DFT calculation (PBE-GGA) of a relaxed BaYTlCd crystal.

extended XYZ file:
```
4
Lattice="0.000 4.029 4.029 4.029 0.000 4.029 4.029 4.029 0.000" Properties=species:S:1:pos:R:3 pbc="T T T"
Ba 0.000 0.000 0.000
Y 4.029 4.029 4.029
Tl 2.015 2.015 2.015
Cd 6.044 6.044 6.044
```

Calculated values
Formation energy   -0.249 eV per atom
V   130.8 Å³ per cell
Density of states at the Fermi level   3.24 states/eV/f.u.

Repeat the third record exactly.
The following is a DFT calculation (PBE-GGA) of a relaxed BaYTlCd crystal.

extended XYZ file:
```
4
Lattice="0.000 4.029 4.029 4.029 0.000 4.029 4.029 4.029 0.000" Properties=species:S:1:pos:R:3 pbc="T T T"
Ba 0.000 0.000 0.000
Y 4.029 4.029 4.029
Tl 2.015 2.015 2.015
Cd 6.044 6.044 6.044
```

Calculated values
Formation energy   -0.249 eV per atom
V   130.8 Å³ per cell
Density of states at the Fermi level   3.24 states/eV/f.u.

> Which of these has the highest density of states at the Fermi level?

U4Fe7As6